Entry from Alexandria: RbBTe2 after structural relaxation (PBE-GGA).

a b c (Å): 7.4818 7.4818 6.8836
angles (deg): 57.08 57.08 90.00
Element x y z (fractional)
1 Te 0.2543 0.6250 0.2500
2 Rb 0.0000 0.0000 0.0000
3 Te 0.4957 0.1250 0.2500
4 B 0.5000 0.5000 0.0000
5 Rb 0.7500 0.2500 0.5000
6 Te 0.3750 0.5043 0.7500
7 Te 0.8750 0.7457 0.7500
8 B 0.2500 0.7500 0.5000

## Properties
**Space-group type**: No. 122
**Uncorrected formation energy**: -170.1 meV per atom

Entry from Alexandria: LaTb2NdY after structural relaxation (PBE-GGA).

a b c (Å): 7.2452 8.4620 7.2167
angles (deg): 125.89 90.00 90.00
Element x y z (fractional)
1 La 0.2500 0.2711 0.5422
2 Y 0.7500 0.2747 0.5494
3 Nd 0.7500 0.9899 0.9797
4 Nd 0.2500 0.0101 0.0203
5 Tb 0.0000 0.6878 0.0000
6 Tb 0.5000 0.6878 0.0000
7 Tb 0.0000 0.3122 0.0000
8 La 0.7500 0.7289 0.4578
9 Tb 0.5000 0.3122 0.0000
10 Y 0.2500 0.7253 0.4506

## Properties
**Space-group type**: No. 63
**Energy of formation from the pure elements**: 0.353 eV/atom

Entry from Alexandria: Ca4SI5 after structural relaxation (PBE-GGA).

a b c (Å): 4.3390 8.7246 9.8577
angles (deg): 102.61 102.71 90.00
Element x y z (fractional)
1 I 0.5000 0.5000 0.0000
2 Ca 0.6519 0.0784 0.3038
3 I 0.8309 0.1729 0.6619
4 Ca 0.9996 0.7803 0.9992
5 I 0.1691 0.8271 0.3381
6 Ca 0.0004 0.2197 0.0008
7 I 0.8350 0.6639 0.6700
8 S 0.5000 0.0000 0.0000
9 I 0.1650 0.3361 0.3300
10 Ca 0.3481 0.9216 0.6962

## Properties
**Space-group type**: No. 12
**Uncorrected formation energy**: -1577.7 meV per atom